No. 1
Computed, not measured: a geometry-optimized Ba2AlP structure at the GGA-PBE level of DFT.

The space group is Fm-3m (No. 225) and the conventional cell measures 8.053, 8.053 and 8.053 Å, with angles of 90.00, 90.00 and 90.00 degrees. The distinct sites, in fractional coordinates, are Ba at (0.250, 0.250, 0.250), Al at (0.000, 0.000, 0.000) and P at (0.000, 0.000, 0.500).

The value obtained for the size of the total moment is 0.00 μB/cell. The value obtained for the excess energy over the best structure of this formula in the dataset is 0.335 eV/atom. The energy of formation comes out at -0.249 eV per atom. The value obtained for the total energy is -55.97 eV for the cell shown.


No. 2
Computed, not measured: a geometry-optimized BaAl2P structure at the GGA-PBE level of DFT.

The space group is C2/m (No. 12) and the conventional cell measures 10.601, 3.515 and 5.883 Å, with angles of 90.00, 111.92 and 90.00 degrees. The distinct sites, in fractional coordinates, are Ba at (0.000, 0.000, 0.000), Al at (0.185, 0.000, 0.616) and P at (0.000, 0.500, 0.500).

The value obtained for the size of the total moment is 0.00 μB/cell. The energy of formation comes out at -0.219 eV per atom. The value obtained for the total energy is -31.39 eV for the cell shown.


No. 3
Computed, not measured: a geometry-optimized BaAlP structure at the GGA-PBE level of DFT.

The space group is F-43m (No. 216) and the conventional cell measures 7.273, 7.273 and 7.273 Å, with angles of 90.00, 90.00 and 90.00 degrees. The distinct sites, in fractional coordinates, are Ba at (0.000, 0.000, 0.000), Al at (0.000, 0.000, 0.500) and P at (0.250, 0.250, 0.250).

The value obtained for the size of the total moment is 0.00 μB/cell. The energy of formation comes out at -0.093 eV per atom. The value obtained for the total energy is -45.41 eV for the cell shown.


No. 4
Computed, not measured: a geometry-optimized BaAl2P structure at the GGA-PBE level of DFT.

The space group is Cm (No. 8) and the conventional cell measures 8.901, 3.938 and 6.278 Å, with angles of 90.00, 100.56 and 90.00 degrees. The distinct sites, in fractional coordinates, are Ba at (0.000, 0.000, 0.000), Al at (0.172, 0.500, 0.489), Al at (0.364, 0.000, 0.384) and P at (0.260, 0.000, 0.716).

The value obtained for the size of the total moment is 0.00 μB/cell. The energy of formation comes out at -0.388 eV per atom. The value obtained for the total energy is -32.74 eV for the cell shown.


No. 5
Computed, not measured: a geometry-optimized Ba2AlP structure at the GGA-PBE level of DFT.

The space group is F-43m (No. 216) and the conventional cell measures 7.936, 7.936 and 7.936 Å, with angles of 90.00, 90.00 and 90.00 degrees. The distinct sites, in fractional coordinates, are Ba at (0.000, 0.000, 0.000), Ba at (0.250, 0.250, 0.250), Al at (0.000, 0.000, 0.500) and P at (0.250, 0.250, 0.750).

The value obtained for the size of the total moment is 0.06 μB/cell. The value obtained for the excess energy over the best structure of this formula in the dataset is 0.696 eV/atom. The energy of formation comes out at 0.112 eV per atom. The value obtained for the total energy is -50.20 eV for the cell shown.


No. 6
Computed, not measured: a geometry-optimized Ba2AlPPt6 structure at the GGA-PBE level of DFT.

The space group is C2/m (No. 12) and the conventional cell measures 11.432, 6.593 and 6.880 Å, with angles of 90.00, 123.72 and 90.00 degrees. The distinct sites, in fractional coordinates, are Ba at (0.209, 0.000, 0.128), Al at (0.000, 0.500, 0.000), P at (0.000, 0.000, 0.500), Pt at (0.048, 0.293, 0.350) and Pt at (0.245, 0.000, 0.649).

The value obtained for the size of the total moment is 0.00 μB/cell. The energy of formation comes out at -0.813 eV per atom. The value obtained for the total energy is -114.75 eV for the cell shown.